Run P
Here is a geometry-optimized YNpSb2 structure from Alexandria. Energies are from PBE-GGA.

abc: 6.2118 6.2118 12.4207
angles: 90.00 90.00 90.00
Space group I4_1/amd (No. 141, origin choice 2)
Inequivalent atoms, fractional coordinates:
1 Y 0.0000 0.2500 0.3750 [4 per cell]
2 Np 0.0000 0.2500 0.8750 [4 per cell]
3 Sb 0.0000 0.2500 0.1239 [8 per cell]

## Properties
Crystal system = tetragonal

Run Q
Here is a geometry-optimized YNpSb2 structure from Alexandria. Energies are from PBE-GGA.

abc: 5.6925 5.6925 3.2789
angles: 90.00 90.00 90.00
Space group P4/mmm (No. 123)
Inequivalent atoms, fractional coordinates:
1 Y 0.0000 0.0000 0.0000 [1 per cell]
2 Np 0.5000 0.5000 0.0000 [1 per cell]
3 Sb 0.0000 0.5000 0.5000 [2 per cell]

## Properties
Crystal system = tetragonal

Run R
Here is a geometry-optimized YNpSb2 structure from Alexandria. Energies are from PBE-GGA.

abc: 4.3695 4.3695 22.2608
angles: 90.00 90.00 120.00
Space group R3m (No. 160, hexagonal axes)
Inequivalent atoms, fractional coordinates:
1 Y 0.0000 0.0000 0.0000 [3 per cell]
2 Np 0.0000 0.0000 0.8291 [3 per cell]
3 Sb 0.0000 0.0000 0.2466 [3 per cell]
4 Sb 0.0000 0.0000 0.4161 [3 per cell]

## Properties
Crystal system = trigonal

Which one sits at the bottom of the stability order? run Q does.

Run P
Here is a geometry-optimized ZrNpSb2 structure from Alexandria. Energies are from PBE-GGA.

abc: 7.3213 7.3213 7.3213
angles: 90.00 90.00 90.00
Space group Fm-3m (No. 225)
Inequivalent atoms, fractional coordinates:
1 Zr 0.0000 0.0000 0.0000 [4 per cell]
2 Np 0.0000 0.0000 0.5000 [4 per cell]
3 Sb 0.2500 0.2500 0.2500 [8 per cell]

## Properties
Crystal system = cubic

Run Q
Here is a geometry-optimized ZrNpSb2 structure from Alexandria. Energies are from PBE-GGA.

abc: 4.1539 4.1539 22.2144
angles: 90.00 90.00 120.00
Space group R3m (No. 160, hexagonal axes)
Inequivalent atoms, fractional coordinates:
1 Zr 0.0000 0.0000 0.0000 [3 per cell]
2 Np 0.0000 0.0000 0.8283 [3 per cell]
3 Sb 0.0000 0.0000 0.2522 [3 per cell]
4 Sb 0.0000 0.0000 0.4102 [3 per cell]

## Properties
Crystal system = trigonal

Run R
Here is a geometry-optimized ZrNpSb2 structure from Alexandria. Energies are from PBE-GGA.

abc: 3.2193 3.2193 33.9092
angles: 90.00 90.00 120.00
Space group R-3m (No. 166, hexagonal axes)
Inequivalent atoms, fractional coordinates:
1 Zr 0.0000 0.0000 0.0000 [3 per cell]
2 Np 0.0000 0.0000 0.5000 [3 per cell]
3 Sb 0.0000 0.0000 0.0875 [6 per cell]

## Properties
Crystal system = trigonal

Which one sits at the bottom of the stability order? run R does.

Run P
Here is a geometry-optimized ZrNpSb2 structure from Alexandria. Energies are from PBE-GGA.

abc: 3.5491 3.5491 7.7516
angles: 90.00 90.00 90.00
Space group P4/mmm (No. 123)
Inequivalent atoms, fractional coordinates:
1 Zr 0.0000 0.0000 0.0000 [1 per cell]
2 Np 0.0000 0.0000 0.5000 [1 per cell]
3 Sb 0.5000 0.5000 0.2311 [2 per cell]

## Properties
Crystal system = tetragonal

Run Q
Here is a geometry-optimized ZrNpSb2 structure from Alexandria. Energies are from PBE-GGA.

abc: 5.4794 5.4794 3.2427
angles: 90.00 90.00 90.00
Space group P4/mmm (No. 123)
Inequivalent atoms, fractional coordinates:
1 Zr 0.0000 0.0000 0.0000 [1 per cell]
2 Np 0.5000 0.5000 0.0000 [1 per cell]
3 Sb 0.0000 0.5000 0.5000 [2 per cell]

## Properties
Crystal system = tetragonal

Which one sits at the bottom of the stability order? run Q does.